Here is a geometry-optimized LiMgCdPt structure from the Alexandria database. Energies are from PBE-GGA.

Computed properties:
Formation enthalpy at 0 K   -560 meV/atom

Cell lengths 6.485, 6.485, 6.485 Å; angles 90.00, 90.00, 90.00 degrees
Space group F-43m (No. 216)
Asymmetric unit:
Li  0.000  0.000  0.000
Mg  0.250  0.250  0.750
Cd  0.250  0.250  0.250
Pt  0.000  0.000  0.500